The following is a GGA-PBE calculation of a relaxed MgRuSe2 crystal, from Alexandria via LeMat-Bulk.

Cell lengths 3.8299, 3.8299, 6.3346 Å; angles 72.39, 72.39, 60.01 degrees
Closest atoms and distances in Å follow each position.
Fractional positions:
Mg (0.7500, 0.7500, 0.7500)  6 Se 2.78
Ru (0.2500, 0.2500, 0.2500)  6 Se 2.56
Se (0.9891, 0.9891, 0.0326)  3 Ru 2.56, 3 Mg 2.78
Se (0.5109, 0.5109, 0.4674)  3 Ru 2.56, 3 Mg 2.78

Properties
Formation energy (no corrections) = -0.411 eV/atom